Here is Be2InP after structural relaxation from Alexandria. Energies are from PBE.

Calculated values
Energy relative to the lowest polymorph listed for this composition   42.08 kJ/mol of atoms

a = 5.775 Å, b = 5.742 Å, c = 4.165 Å
α = 90.00°, β = 114.22°, γ = 90.00°
Space group C2/m (No. 12)
Asymmetric unit:
Be1 0.250 0.250 0.000 x4
In1 0.000 0.000 0.500 x2
P1 0.000 0.500 0.500 x2

=====

Here is Pm12Pr2Dy5 after structural relaxation from Alexandria. Energies are from PBE.

Calculated values
Energy relative to the lowest polymorph listed for this composition   6.95 kJ/mol of atoms

a = 16.042 Å, b = 9.316 Å, c = 8.972 Å
α = 90.00°, β = 101.16°, γ = 90.00°
Space group C2/m (No. 12)
Asymmetric unit:
Pm1 0.015 0.000 0.172 x4
Pm2 0.079 0.500 0.414 x4
Pm3 0.121 0.311 0.798 x8
Pm4 0.169 0.245 0.223 x8
Pr1 0.000 0.176 0.500 x4
Dy1 0.000 0.500 0.000 x2
Dy2 0.194 0.000 0.547 x4
Dy3 0.216 0.000 0.939 x4

=====

Here is BeGeBRu2 after structural relaxation from Alexandria. Energies are from PBE.

Calculated values
Energy   -31.3 eV for the cell shown

a = 4.110 Å, b = 4.110 Å, c = 3.821 Å
α = 90.00°, β = 90.00°, γ = 90.00°
Space group P4/mmm (No. 123)
Asymmetric unit:
Be1 0.000 0.000 0.000 x1
Ge1 0.500 0.500 0.000 x1
B1 0.500 0.500 0.500 x1
Ru1 0.000 0.500 0.500 x2

=====

Here is Cs2BeI6N after structural relaxation from Alexandria. Energies are from PBE.

Calculated values
Raw formation energy   -2.28 eV per formula unit

a = 8.942 Å, b = 8.942 Å, c = 10.594 Å
α = 90.00°, β = 90.00°, γ = 90.00°
Space group I4/mmm (No. 139)
Asymmetric unit:
Cs1 0.000 0.500 0.250 x4
Be1 0.000 0.000 0.000 x2
I1 0.000 0.000 0.301 x4
I2 0.205 0.205 0.000 x8
N1 0.000 0.000 0.500 x2

=====

Here is KTi2Br6 after structural relaxation from Alexandria. Energies are from PBE.

Calculated values
Energy relative to the lowest polymorph listed for this composition   0.00 kJ/mol of atoms
Raw formation energy   -11.52 eV per formula unit

a = 6.6460 Å, b = 6.6460 Å, c = 7.7498 Å
α = 90.00°, β = 90.00°, γ = 120.00°
Space group P-31m (No. 162)
Asymmetric unit:
K1 0.0000 0.0000 0.0000 x1
Ti1 0.3333 0.6667 0.5000 x2
Br1 0.0000 0.3527 0.6964 x6

=====

Here is Mg2BPdI after structural relaxation from Alexandria. Energies are from PBE.

Calculated values
Raw formation energy   4.51 eV per formula unit

a = 4.994 Å, b = 4.994 Å, c = 5.464 Å
α = 90.00°, β = 90.00°, γ = 90.00°
Space group P4/mmm (No. 123)
Asymmetric unit:
Mg1 0.000 0.500 0.000 x2
B1 0.000 0.000 0.500 x1
Pd1 0.500 0.500 0.000 x1
I1 0.500 0.500 0.500 x1

=====

Here is La2SbS after structural relaxation from Alexandria. Energies are from PBE.

Calculated values
Energy relative to the lowest polymorph listed for this composition   0.00 kJ/mol of atoms
Raw formation energy   -6.74 eV per formula unit

a = 4.4027 Å, b = 4.4027 Å, c = 21.5032 Å
α = 90.00°, β = 90.00°, γ = 120.00°
Space group R-3m (No. 166, hexagonal axes)
Asymmetric unit:
La1 0.0000 0.0000 0.2428 x6
Sb1 0.0000 0.0000 0.0000 x3
S1 0.0000 0.0000 0.5000 x3

=====

Here is CaPmGe after structural relaxation from Alexandria. Energies are from PBE.

Calculated values
Energy relative to the lowest polymorph listed for this composition   0.00 kJ/mol of atoms

a = 4.270 Å, b = 12.154 Å, c = 6.925 Å
α = 90.00°, β = 90.00°, γ = 90.00°
Space group Cmcm (No. 63)
Asymmetric unit:
Ca1 0.000 0.212 0.250 x4
Pm1 0.000 0.500 0.000 x4
Ge1 0.000 0.107 0.750 x4

=====

Here is Na6Pb5 after structural relaxation from Alexandria. Energies are from PBE.

Calculated values
Energy   -55.7 eV for the cell shown

a = 4.957 Å, b = 14.923 Å, c = 9.074 Å
α = 90.00°, β = 90.00°, γ = 90.00°
Space group Cmmm (No. 65)
Asymmetric unit:
Na1 0.000 0.000 0.228 x4
Na2 0.000 0.336 0.251 x8
Pb1 0.000 0.164 0.500 x4
Pb2 0.000 0.180 0.000 x4
Pb3 0.000 0.500 0.500 x2

=====

Here is PPt2Pb after structural relaxation from Alexandria. Energies are from PBE.

Calculated values
Energy relative to the lowest polymorph listed for this composition   11.65 kJ/mol of atoms

a = 3.472 Å, b = 3.488 Å, c = 6.280 Å
α = 90.00°, β = 90.00°, γ = 90.00°
Space group Pmm2 (No. 25)
Asymmetric unit:
P1 0.000 0.000 0.000 x1
Pt1 0.000 0.000 0.632 x1
Pt2 0.500 0.500 0.904 x1
Pb1 0.500 0.500 0.386 x1

=====

Here is Sr3Ca6Mg after structural relaxation from Alexandria. Energies are from PBE.

Calculated values
Energy relative to the lowest polymorph listed for this composition   35.44 kJ/mol of atoms

a = 12.651 Å, b = 12.651 Å, c = 12.651 Å
α = 90.00°, β = 90.00°, γ = 90.00°
Space group Fm-3m (No. 225)
Asymmetric unit:
Sr1 0.000 0.000 0.000 x4
Sr2 0.250 0.250 0.250 x8
Ca1 0.000 0.000 0.263 x24
Mg1 0.000 0.000 0.500 x4

=====

Here is NaLiSmGa after structural relaxation from Alexandria. Energies are from PBE.

Calculated values
Energy   -45.7 eV for the cell shown

a = 7.217 Å, b = 7.217 Å, c = 7.217 Å
α = 90.00°, β = 90.00°, γ = 90.00°
Space group F-43m (No. 216)
Asymmetric unit:
Na1 0.000 0.000 0.000 x4
Li1 0.250 0.250 0.750 x4
Sm1 0.000 0.000 0.500 x4
Ga1 0.250 0.250 0.250 x4